(1)
Density functional theory data (GGA-PBE) for ZrScOs2 after structural relaxation.

## Properties
For the calculated formation energy, the calculation gives -0.094 eV per atom. The calculation puts the relative energy among the computed polymorphs at 1.523 eV per formula unit.

Lattice parameters (Å, degrees): 5.237 5.473 2.910 82.48 77.91 119.09
Fractional coordinates of all 4 atoms:
Os1 0.000 0.000 0.000
Os2 0.000 0.500 0.500
Sc1 0.500 0.500 0.000
Zr1 0.500 0.000 0.500

---

(2)
Density functional theory data (GGA-PBE) for ZrSc2Os after structural relaxation.

## Properties
For the calculated formation energy, the calculation gives -0.065 eV per atom. The calculation puts the relative energy among the computed polymorphs at 0.952 eV per formula unit.

Lattice parameters (Å, degrees): 5.599 5.599 5.599 137.85 137.85 61.14
Fractional coordinates of all 4 atoms:
Os1 0.750 0.250 0.500
Sc1 0.000 0.000 0.000
Sc2 0.500 0.500 0.000
Zr1 0.250 0.750 0.500

---

Values of final energy, in order: -9.429, -8.175, all in eV per atom.